Entry 1:
{"formula": "Mg2ScCd", "functional": "GGA-PBEsol", "state": "optimized geometry", "ef_ev_per_atom": -0.133, "n_ef_per_ev_fu": 3.1, "space_group": "P4mm (99)", "e_tot_ev_per_atom": -2.942, "magnetic_moment_mub_per_atom": 0.08, "lattice_angstrom": [[-1.8387, 2.6187, 0.0207], [-2.6001, -1.8221, -0.4589], [-0.9594, -0.7400, 8.3750]], "species": ["Sc", "Mg", "Mg", "Cd"], "frac_coords": [[0.0000, 0.0000, 0.5143], [0.0000, 0.0000, 0.9857], [0.5000, 0.5000, 0.2471], [0.5000, 0.5000, 0.7529]]}

Entry 2:
{"formula": "CaZrAl4", "functional": "GGA-PBEsol", "state": "optimized geometry", "ef_ev_per_atom": -0.353, "n_ef_per_ev_fu": 5.1, "space_group": "F-43m (216)", "e_tot_ev_per_atom": -4.951, "magnetic_moment_mub_per_atom": 0.00, "lattice_angstrom": [[5.4215, 0.0000, 0.0000], [2.7107, 4.6951, 0.0000], [2.7107, 1.5650, 4.4266]], "species": ["Ca", "Al", "Al", "Al", "Al", "Zr"], "frac_coords": [[0.7500, 0.7500, 0.7500], [0.3745, 0.3745, 0.3745], [0.3745, 0.3745, 0.8765], [0.8765, 0.3745, 0.3745], [0.3745, 0.8765, 0.3745], [0.0000, 0.0000, 0.0000]]}